## K5PCl2O4 (PBE)

Data for a relaxed K5PCl2O4 crystal.

Cell: 6.5231 5.9036 8.3392 Å, 90.00 90.00 123.54°
Site moments in Bohr magnetons follow the coordinates.
Sites, in units of the cell vectors:
K 0.0818 0.3707 0.2015  0.00
K 0.4960 0.0000 0.5000  0.00
K 0.0818 0.3707 0.7985  0.00
K 0.7112 0.6293 0.7985  0.00
K 0.7112 0.6293 0.2015  0.00
P 0.4031 0.0000 0.0000  0.00
Cl 0.9526 0.6013 0.5000  0.00
Cl 0.3513 0.3987 0.5000  0.00
O 0.5471 0.0000 0.1523  0.06
O 0.5471 0.0000 0.8477  0.06
O 0.3906 0.2587 0.0000  0.01
O 0.1319 0.7413 0.0000  0.01

Values from the calculation:
ΔE_f (raw): -2015.1 meV per atom
N(E_F): 0.00 states/eV/cell
Space-group type: No. 38

***

## Na2TbSbSe4 (PBE)

Data for a relaxed Na2TbSbSe4 crystal.

Cell: 4.1618 7.2499 7.4103 Å, 108.87 90.00 90.00°
Sites, in units of the cell vectors:
Na 0.5000 0.0000 0.5000
Na 0.0000 0.5000 0.5000
Tb 0.5000 0.5000 0.0000
Sb 0.0000 0.0000 0.0000
Se 0.5000 0.2447 0.2311
Se 0.5000 0.7553 0.7689
Se 0.0000 0.2567 0.7706
Se 0.0000 0.7433 0.2294

Values from the calculation:
ΔE_f (raw): -1173.0 meV per atom
Space-group type: No. 10

***

## Sm2Dy7Tm3 (PBE)

Data for a relaxed Sm2Dy7Tm3 crystal.

Cell: 3.5696 5.7447 18.6121 Å, 93.80 90.00 90.00°
Sites, in units of the cell vectors:
Sm 0.5000 0.7068 0.2950
Sm 0.5000 0.2932 0.7050
Dy 0.5000 0.7417 0.4629
Dy 0.5000 0.2583 0.5371
Dy 0.0000 0.6791 0.1422
Dy 0.0000 0.0000 0.0000
Dy 0.0000 0.3209 0.8578
Dy 0.5000 0.8180 0.8228
Dy 0.5000 0.1820 0.1772
Tm 0.5000 0.5000 0.0000
Tm 0.0000 0.2215 0.3695
Tm 0.0000 0.7785 0.6305

Values from the calculation:
E above lowest polymorph: 13 meV per atom
N(E_F): 14.63 states/eV/cell
Space-group type: No. 10
DFT formation energy: 0.088 eV per atom

***

## BaAgPt2 (PBE)

Data for a relaxed BaAgPt2 crystal.

Cell: 5.0371 5.0371 5.0371 Å, 60.00 60.00 60.00°
Sites, in units of the cell vectors:
Ag 0.0000 0.0000 0.0000
Ba 0.5000 0.5000 0.5000
Pt 0.2500 0.2500 0.2500
Pt 0.7500 0.7500 0.7500

Values from the calculation:
E above lowest polymorph: 474 meV per atom
N(E_F): 4.20 states/eV/cell
Space-group type: No. 225
DFT formation energy: 0.038 eV per atom

***

## SmHoTmN3 (PBE)

Data for a relaxed SmHoTmN3 crystal.

Cell: 3.4658 5.9701 8.9805 Å, 101.71 90.00 90.00°
Sites, in units of the cell vectors:
Sm 0.7500 0.6540 0.6973
Sm 0.2500 0.3460 0.3027
Ho 0.2500 0.7688 0.0448
Ho 0.7500 0.2312 0.9552
Tm 0.2500 0.1485 0.6394
Tm 0.7500 0.8515 0.3606
N 0.2500 0.7547 0.4925
N 0.7500 0.0357 0.1557
N 0.7500 0.5408 0.1689
N 0.7500 0.2453 0.5075
N 0.2500 0.4592 0.8311
N 0.2500 0.9643 0.8443

Values from the calculation:
ΔE_f (raw): -1485.3 meV per atom
Space-group type: No. 11

***

## NdHoMg2 (PBE)

Data for a relaxed NdHoMg2 crystal.

Cell: 5.4137 5.4137 5.4137 Å, 60.00 60.00 60.00°
Sites, in units of the cell vectors:
Mg 0.2500 0.2500 0.2500
Mg 0.7500 0.7500 0.7500
Nd 0.0000 0.0000 0.0000
Ho 0.5000 0.5000 0.5000

Values from the calculation:
E above lowest polymorph: 0 meV per atom
N(E_F): 3.88 states/eV/cell
Space-group type: No. 225
DFT formation energy: -0.098 eV per atom

***

## SrOsW2 (PBE)

Data for a relaxed SrOsW2 crystal.

Cell: 5.7911 5.7911 5.7911 Å, 149.86 126.78 62.39°
Sites, in units of the cell vectors:
Os 0.5345 0.5345 0.0000
Sr 0.2556 0.7556 0.5000
W 0.9663 0.9663 0.0000
W 0.7436 0.2436 0.5000

Values from the calculation:
E above lowest polymorph: 338 meV per atom
N(E_F): 2.63 states/eV/cell
Space-group type: No. 44
DFT formation energy: 1.023 eV per atom

***

## CsHoSn2Cl8 (PBE)

Data for a relaxed CsHoSn2Cl8 crystal.

Cell: 6.9917 6.4554 9.6063 Å, 88.41 84.37 86.46°
Sites, in units of the cell vectors:
Cs 0.0000 0.0000 0.5000
Ho 0.0000 0.0000 0.0000
Sn 0.4742 0.4802 0.7653
Sn 0.5258 0.5198 0.2347
Cl 0.1750 0.7801 0.1881
Cl 0.6892 0.7716 0.0410
Cl 0.8676 0.2591 0.2014
Cl 0.8250 0.2199 0.8119
Cl 0.3108 0.2284 0.9590
Cl 0.1324 0.7409 0.7986
Cl 0.6092 0.7313 0.4330
Cl 0.3908 0.2687 0.5670

Values from the calculation:
ΔE_f (raw): -1586.5 meV per atom
N(E_F): 0.00 states/eV/cell
Space-group type: No. 2

***

## Ta6Ti2W (PBE)

Data for a relaxed Ta6Ti2W crystal.

Cell: 4.4092 6.2303 7.6648 Å, 113.98 106.74 90.00°
Sites, in units of the cell vectors:
Ta 0.1679 0.4183 0.3359
Ta 0.8321 0.0824 0.6641
Ta 0.8321 0.5817 0.6641
Ta 0.5000 0.2490 0.0000
Ta 0.1679 0.9176 0.3359
Ta 0.5000 0.7510 0.0000
Ti 0.6662 0.6664 0.3329
Ti 0.3338 0.3336 0.6671
W 0.0000 0.0000 0.0000

Values from the calculation:
E above lowest polymorph: 864 meV per atom
N(E_F): 10.06 states/eV/cell
Space-group type: No. 71
DFT formation energy: 0.874 eV per atom

***

## Zr3VCo (PBE)

Data for a relaxed Zr3VCo crystal.

Cell: 4.8168 4.8168 4.8168 Å, 90.00 90.00 90.00°
Site moments in Bohr magnetons follow the coordinates.
Sites, in units of the cell vectors:
Co 0.5000 0.5000 0.5000  1.75
Zr 0.0000 0.5000 0.0000  -0.08
Zr 0.0000 0.0000 0.5000  -0.08
Zr 0.5000 0.0000 0.0000  -0.08
V 0.0000 0.0000 0.0000  0.05

Values from the calculation:
E above lowest polymorph: 492 meV per atom
N(E_F): 8.22 states/eV/cell
Space-group type: No. 221
DFT formation energy: 0.953 eV per atom

***

## BaNb2BiW (PBE)

Data for a relaxed BaNb2BiW crystal.

Cell: 4.9320 6.1435 4.9320 Å, 90.00 90.00 90.00°
Sites, in units of the cell vectors:
Nb 0.0000 0.0000 0.5000
Nb 0.5000 0.0000 0.0000
Bi 0.5000 0.5000 0.5000
W 0.0000 0.0000 0.0000
Ba 0.0000 0.5000 0.0000

Values from the calculation:
N(E_F): 3.44 states/eV/cell
Space-group type: No. 123
DFT formation energy: 1.131 eV per atom

***

## KSrCo (PBE)

Data for a relaxed KSrCo crystal.

Cell: 8.1413 8.1419 3.8299 Å, 76.39 76.40 27.21°
Site moments in Bohr magnetons follow the coordinates.
Sites, in units of the cell vectors:
Co 0.0170 0.0170 0.9830  1.62
K 0.3678 0.3678 0.6322  0.00
Sr 0.6152 0.6152 0.3848  -0.07

Values from the calculation:
E above lowest polymorph: 0 meV per atom
N(E_F): 7.32 states/eV/cell
Space-group type: No. 107
DFT formation energy: 0.686 eV per atom

***

## Cu3NiPd (PBE)

Data for a relaxed Cu3NiPd crystal.

Cell: 4.5864 5.9030 5.9026 Å, 120.03 90.00 90.00°
Sites, in units of the cell vectors:
Cu 0.7500 0.6036 0.8020
Cu 0.2500 0.8019 0.6036
Cu 0.2500 0.3964 0.1980
Cu 0.7500 0.1981 0.3964
Cu 0.2500 0.8018 0.1981
Cu 0.7500 0.1982 0.8019
Ni 0.0000 0.0000 0.0000
Ni 0.5000 0.0000 0.0000
Pd 0.7500 0.6667 0.3334
Pd 0.2500 0.3333 0.6667

Values from the calculation:
E above lowest polymorph: 347 meV per atom
N(E_F): 7.05 states/eV/cell
Space-group type: No. 194
DFT formation energy: 0.312 eV per atom

***

## CsSr2Tl (PBE)

Data for a relaxed CsSr2Tl crystal.

Cell: 4.2363 4.2363 11.7840 Å, 90.00 90.00 90.00°
Sites, in units of the cell vectors:
Cs 0.5000 0.5000 0.5000
Sr 0.0000 0.0000 0.8384
Sr 0.0000 0.0000 0.1616
Tl 0.5000 0.5000 0.0000

Values from the calculation:
E above lowest polymorph: 0 meV per atom
N(E_F): 4.63 states/eV/cell
Space-group type: No. 123
DFT formation energy: -0.127 eV per atom

***

## Li3AuC (PBE)

Data for a relaxed Li3AuC crystal.

Cell: 4.7726 4.7726 4.7726 Å, 90.00 90.00 90.00°
Site moments in Bohr magnetons follow the coordinates.
Sites, in units of the cell vectors:
C 0.5000 0.5000 0.5000  0.87
Au 0.0000 0.0000 0.0000  0.03
Li 0.0000 0.5000 0.0000  0.00
Li 0.0000 0.0000 0.5000  0.00
Li 0.5000 0.0000 0.0000  -0.01

Values from the calculation:
E above lowest polymorph: 691 meV per atom
N(E_F): 2.66 states/eV/cell
Space-group type: No. 221
DFT formation energy: 1.053 eV per atom

***

## Ga2RuF (PBE)

Data for a relaxed Ga2RuF crystal.

Cell: 6.1957 6.1957 5.4034 Å, 55.02 55.02 90.00°
Sites, in units of the cell vectors:
Ru 0.0000 0.0000 0.0000
Ru 0.7500 0.2500 0.5000
Ga 0.5932 0.1250 0.2500
Ga 0.1568 0.6250 0.2500
Ga 0.3750 0.4068 0.7500
Ga 0.8750 0.8432 0.7500
F 0.5000 0.5000 0.0000
F 0.2500 0.7500 0.5000

Values from the calculation:
E above lowest polymorph: 0 meV per atom
ΔE_f (raw): -495.5 meV per atom
N(E_F): 4.91 states/eV/cell
Space-group type: No. 122

***

## Ca3PtO (PBE)

Data for a relaxed Ca3PtO crystal.

Cell: 4.7065 4.7065 4.7065 Å, 90.00 90.00 90.00°
Sites, in units of the cell vectors:
Ca 0.0000 0.5000 0.0000
Ca 0.0000 0.0000 0.5000
Ca 0.5000 0.0000 0.0000
O 0.0000 0.0000 0.0000
Pt 0.5000 0.5000 0.5000

Values from the calculation:
E above lowest polymorph: 0 meV per atom
ΔE_f (raw): -1524.9 meV per atom
N(E_F): 2.10 states/eV/cell
Space-group type: No. 221

***

## CsRbFe2S (PBE)

Data for a relaxed CsRbFe2S crystal.

Cell: 5.7596 7.3721 5.7596 Å, 90.00 90.00 90.00°
Site moments in Bohr magnetons follow the coordinates.
Sites, in units of the cell vectors:
Cs 0.0000 0.5000 0.0000  0.00
S 0.5000 0.5000 0.5000  0.44
Fe 0.0000 0.0000 0.5000  3.13
Fe 0.5000 0.0000 0.0000  3.49
Rb 0.0000 0.0000 0.0000  0.01

Values from the calculation:
ΔE_f (raw): 1775.3 meV per atom
N(E_F): 3.94 states/eV/cell
Space-group type: No. 123

***

## SrCdGa2Os (PBE)

Data for a relaxed SrCdGa2Os crystal.

Cell: 4.8356 4.8356 5.2613 Å, 90.00 90.00 90.00°
Sites, in units of the cell vectors:
Sr 0.5000 0.5000 0.5000
Os 0.0000 0.0000 0.0000
Ga 0.0000 0.5000 0.0000
Ga 0.5000 0.0000 0.0000
Cd 0.0000 0.0000 0.5000

Values from the calculation:
N(E_F): 1.48 states/eV/cell
Space-group type: No. 123
DFT formation energy: -0.199 eV per atom

***

## NdCdBr (PBE)

Data for a relaxed NdCdBr crystal.

Cell: 4.4366 4.4366 11.6995 Å, 90.05 90.05 59.92°
Sites, in units of the cell vectors:
Nd 0.9999 0.9999 0.7058
Nd 0.0001 0.0001 0.2942
Cd 0.6666 0.6666 0.5405
Cd 0.3334 0.3334 0.4595
Br 0.6668 0.6668 0.1496
Br 0.3332 0.3332 0.8504

Values from the calculation:
ΔE_f (raw): -907.0 meV per atom
N(E_F): 4.89 states/eV/cell
Space-group type: No. 12

***

## BaCaCl2 (PBE)

Data for a relaxed BaCaCl2 crystal.

Cell: 4.1142 4.1886 7.2031 Å, 90.02 90.00 90.00°
Sites, in units of the cell vectors:
Ca 0.5000 0.7500 0.7500
Ba 0.5000 0.2500 0.2500
Cl 0.0000 0.7502 0.0262
Cl 0.0000 0.7498 0.4738

Values from the calculation:
E above lowest polymorph: 67 meV per atom
ΔE_f (raw): -1628.6 meV per atom
N(E_F): 2.35 states/eV/cell
Space-group type: No. 47

***

## Ce2MgTc (PBE)

Data for a relaxed Ce2MgTc crystal.

Cell: 3.8934 5.8532 10.0637 Å, 65.76 90.00 90.00°
Sites, in units of the cell vectors:
Ce 0.4226 0.5477 0.1407
Ce 0.4225 0.0323 0.7601
Ce 0.9225 0.9677 0.2399
Ce 0.9226 0.4523 0.8593
Mg 0.9218 0.3046 0.4591
Mg 0.4218 0.6954 0.5409
Tc 0.4232 0.1426 0.0460
Tc 0.9232 0.8574 0.9540

Values from the calculation:
N(E_F): 13.49 states/eV/cell
Space-group type: No. 4
DFT formation energy: 0.000 eV per atom

***

## Na3HgAs2 (PBE)

Data for a relaxed Na3HgAs2 crystal.

Cell: 8.4935 9.3807 9.2013 Å, 90.00 106.83 90.00°
Site moments in Bohr magnetons follow the coordinates.
Sites, in units of the cell vectors:
Na 0.2101 0.9282 0.0414  0.00
Na 0.2899 0.4282 0.4586  0.00
Na 0.7899 0.0718 0.9586  0.00
Na 0.7101 0.5718 0.5414  0.00
Na 0.3422 0.5129 0.1029  0.00
Na 0.1578 0.0129 0.3971  0.00
Na 0.6578 0.4871 0.8971  0.00
Na 0.8422 0.9871 0.6029  0.00
Na 0.9241 0.7160 0.1758  0.00
Na 0.5759 0.2160 0.3242  0.00
Na 0.0759 0.2840 0.8242  0.00
Na 0.4241 0.7840 0.6758  0.00
Hg 0.5563 0.8386 0.2926  0.02
Hg 0.9437 0.3386 0.2074  0.02
Hg 0.4437 0.1614 0.7074  0.02
Hg 0.0563 0.6614 0.7926  0.02
As 0.7954 0.9872 0.2681  0.25
As 0.7046 0.4872 0.2319  0.25
As 0.2046 0.0128 0.7319  0.25
As 0.2954 0.5128 0.7681  0.25
As 0.3002 0.7281 0.3320  0.14
As 0.1998 0.2281 0.1680  0.14
As 0.6998 0.2719 0.6680  0.14
As 0.8002 0.7719 0.8320  0.14

Values from the calculation:
E above lowest polymorph: 19 meV per atom
N(E_F): 17.15 states/eV/cell
Space-group type: No. 14
DFT formation energy: -0.235 eV per atom

***

## HfMnI2N (PBE)

Data for a relaxed HfMnI2N crystal.

Cell: 5.4443 5.4443 3.5142 Å, 90.00 90.00 90.00°
Site moments in Bohr magnetons follow the coordinates.
Sites, in units of the cell vectors:
I 0.0000 0.5000 0.0000  0.00
I 0.5000 0.0000 0.0000  0.00
Mn 0.0000 0.0000 0.0000  1.29
Hf 0.5000 0.5000 0.5000  -0.20
N 0.0000 0.0000 0.5000  -0.12

Values from the calculation:
E above lowest polymorph: 342 meV per atom
ΔE_f (raw): 487.3 meV per atom
N(E_F): 5.55 states/eV/cell
Space-group type: No. 123

***

## AgSnBr6 (PBE)

Data for a relaxed AgSnBr6 crystal.

Cell: 6.2700 8.5460 7.8835 Å, 51.26 68.27 65.16°
Sites, in units of the cell vectors:
Ag 0.5000 0.5000 0.5000
Sn 0.0000 0.0000 0.0000
Br 0.1201 0.3610 0.7803
Br 0.8039 0.1365 0.6572
Br 0.6216 0.1813 0.1493
Br 0.1961 0.8635 0.3428
Br 0.8799 0.6390 0.2197
Br 0.3784 0.8187 0.8507

Values from the calculation:
ΔE_f (raw): -393.3 meV per atom
N(E_F): 6.04 states/eV/cell
Space-group type: No. 2